Record 1
# Sn2Hg2Sb

A geometry-optimized Sn2Hg2Sb structure (PBE, Alexandria via LeMat-Bulk).

Cell lengths 4.2888, 4.2888, 15.3643 Å; angles 90.00, 90.00, 90.00 degrees
Space group I4/mmm (No. 139)
One atom of each set of equivalent atoms:
Sn1 0.0000 0.5000 0.2500 x4
Hg1 0.0000 0.0000 0.0931 x4
Sb1 0.0000 0.0000 0.5000 x2

Summary:
calculated volume	28.26	A^3/atom
magnetic moment	0.00	μB/f.u.
theoretical density	8.94	g/cm³
raw formation energy	0.253	eV/atom
energy above the lowest structure with this stoichiometry	92	kJ/mol of formula units
Fermi-level density of states	2.959	states/eV/f.u.

---

Record 2
# Sn4HgSb5

A geometry-optimized Sn4HgSb5 structure (PBE, Alexandria via LeMat-Bulk).

Cell lengths 4.5613, 4.5613, 64.1440 Å; angles 90.00, 90.00, 120.00 degrees
Space group R3m (No. 160, hexagonal axes)
One atom of each set of equivalent atoms:
Sn1 0.0000 0.0000 0.0000 x3
Sn2 0.0000 0.0000 0.1886 x3
Sn3 0.0000 0.0000 0.4001 x3
Sn4 0.0000 0.0000 0.5956 x3
Hg1 0.0000 0.0000 0.7988 x3
Sb1 0.0000 0.0000 0.1441 x3
Sb2 0.0000 0.0000 0.3545 x3
Sb3 0.0000 0.0000 0.5418 x3
Sb4 0.0000 0.0000 0.7530 x3
Sb5 0.0000 0.0000 0.9496 x3

Summary:
calculated volume	38.53	A^3/atom
magnetic moment	0.00	μB/f.u.
theoretical density	5.54	g/cm³
raw formation energy	0.112	eV/atom
Fermi-level density of states	4.062	states/eV/f.u.

---

Record 3
# Sn2HgSb2

A geometry-optimized Sn2HgSb2 structure (PBE, Alexandria via LeMat-Bulk).

Cell lengths 5.1715, 5.1715, 12.9595 Å; angles 90.00, 90.00, 90.00 degrees
Space group I4/mmm (No. 139)
One atom of each set of equivalent atoms:
Sn1 0.0000 0.5000 0.2500 x4
Hg1 0.0000 0.0000 0.0000 x2
Sb1 0.0000 0.0000 0.3720 x4

Summary:
calculated volume	34.66	A^3/atom
magnetic moment	0.00	μB/f.u.
theoretical density	6.53	g/cm³
raw formation energy	0.099	eV/atom
energy above the lowest structure with this stoichiometry	1	kJ/mol of formula units
Fermi-level density of states	1.758	states/eV/f.u.

---

Record 4
# SnHg2Sb2

A geometry-optimized SnHg2Sb2 structure (PBE, Alexandria via LeMat-Bulk).

Cell lengths 4.2198, 4.2198, 16.5607 Å; angles 90.00, 90.00, 90.00 degrees
Space group I4/mmm (No. 139)
One atom of each set of equivalent atoms:
Sn1 0.0000 0.0000 0.0000 x2
Hg1 0.0000 0.0000 0.4068 x4
Sb1 0.0000 0.5000 0.2500 x4

Summary:
calculated volume	29.49	A^3/atom
magnetic moment	0.00	μB/f.u.
theoretical density	8.60	g/cm³
raw formation energy	0.242	eV/atom
energy above the lowest structure with this stoichiometry	49	kJ/mol of formula units
Fermi-level density of states	2.979	states/eV/f.u.

---

Record 5
# Sn2Hg2Sb

A geometry-optimized Sn2Hg2Sb structure (PBE, Alexandria via LeMat-Bulk).

Cell lengths 7.9635, 7.9635, 4.3221 Å; angles 90.00, 90.00, 90.00 degrees
Space group P4/mbm (No. 127)
One atom of each set of equivalent atoms:
Sn1 0.1731 0.3269 0.0000 x4
Hg1 0.1330 0.6330 0.5000 x4
Sb1 0.0000 0.0000 0.5000 x2

Summary:
calculated volume	27.41	A^3/atom
magnetic moment	0.00	μB/f.u.
theoretical density	9.21	g/cm³
raw formation energy	0.154	eV/atom
energy above the lowest structure with this stoichiometry	44	kJ/mol of formula units
Fermi-level density of states	2.131	states/eV/f.u.

---

Record 6
# Sn4HgSb3

A geometry-optimized Sn4HgSb3 structure (PBE, Alexandria via LeMat-Bulk).

Cell lengths 8.6877, 12.4050, 4.3889 Å; angles 90.00, 90.00, 90.00 degrees
Space group Cmmm (No. 65)
One atom of each set of equivalent atoms:
Sn1 0.0000 0.2458 0.0000 x4
Sn2 0.2497 0.0000 0.5000 x4
Hg1 0.0000 0.5000 0.0000 x2
Sb1 0.0000 0.0000 0.0000 x2
Sb2 0.2500 0.2500 0.5000 x4

Summary:
calculated volume	29.56	A^3/atom
magnetic moment	0.00	μB/f.u.
theoretical density	7.31	g/cm³
raw formation energy	0.013	eV/atom
Fermi-level density of states	4.481	states/eV/f.u.

---

Record 7
# SnHgSb

A geometry-optimized SnHgSb structure (PBE, Alexandria via LeMat-Bulk).

Cell lengths 4.3790, 4.3790, 5.3315 Å; angles 90.00, 90.00, 120.00 degrees
Space group P3m1 (No. 156)
One atom of each set of equivalent atoms:
Sn1 0.0000 0.0000 0.0000 x1
Hg1 0.6667 0.3333 0.3537 x1
Sb1 0.3333 0.6667 0.7094 x1

Summary:
calculated volume	29.51	A^3/atom
magnetic moment	0.00	μB/f.u.
theoretical density	8.27	g/cm³
raw formation energy	0.034	eV/atom
energy above the lowest structure with this stoichiometry	0	kJ/mol of formula units
Fermi-level density of states	1.890	states/eV/f.u.

---

Record 8
# Sn4Hg2Sb3

A geometry-optimized Sn4Hg2Sb3 structure (PBE, Alexandria via LeMat-Bulk).

Cell lengths 16.6389, 4.3033, 8.9618 Å; angles 90.00, 120.46, 90.00 degrees
Space group C2/m (No. 12)
One atom of each set of equivalent atoms:
Sn1 0.0254 0.0000 0.2701 x4
Sn2 0.2067 0.5000 0.2975 x4
Hg1 0.1780 0.0000 0.9022 x4
Sb1 0.0000 0.5000 0.0000 x2
Sb2 0.1417 0.5000 0.5570 x4

Summary:
calculated volume	30.73	A^3/atom
magnetic moment	0.00	μB/f.u.
theoretical density	7.45	g/cm³
raw formation energy	0.089	eV/atom
Fermi-level density of states	4.186	states/eV/f.u.

---

Record 9
# Sn3Hg5Sb12

A geometry-optimized Sn3Hg5Sb12 structure (PBE, Alexandria via LeMat-Bulk).

Cell lengths 19.3117, 19.3117, 19.3117 Å; angles 90.00, 90.00, 90.00 degrees
Space group Ia-3d (No. 230)
One atom of each set of equivalent atoms:
Sn1 0.0000 0.2500 0.1250 x24
Hg1 0.0000 0.0000 0.0000 x16
Hg2 0.0000 0.2500 0.3750 x24
Sb1 0.0172 0.0813 0.1444 x96

Summary:
calculated volume	45.01	A^3/atom
magnetic moment	0.00	μB/f.u.
theoretical density	5.20	g/cm³
raw formation energy	0.192	eV/atom
Fermi-level density of states	7.106	states/eV/f.u.

---

Record 10
# SnHg2Sb2

A geometry-optimized SnHg2Sb2 structure (PBE, Alexandria via LeMat-Bulk).

Cell lengths 4.1980, 4.1980, 17.1744 Å; angles 90.00, 90.00, 90.00 degrees
Space group I4/mmm (No. 139)
One atom of each set of equivalent atoms:
Sn1 0.0000 0.0000 0.0000 x2
Hg1 0.0000 0.5000 0.2500 x4
Sb1 0.0000 0.0000 0.4172 x4

Summary:
calculated volume	30.27	A^3/atom
magnetic moment	0.00	μB/f.u.
theoretical density	8.38	g/cm³
raw formation energy	0.141	eV/atom
energy above the lowest structure with this stoichiometry	0	kJ/mol of formula units
Fermi-level density of states	2.407	states/eV/f.u.

---

Record 11
# Sn3HgSb3

A geometry-optimized Sn3HgSb3 structure (PBE, Alexandria via LeMat-Bulk).

Cell lengths 9.1008, 9.1008, 5.7166 Å; angles 90.00, 90.00, 120.00 degrees
Space group P6_3/m (No. 176)
One atom of each set of equivalent atoms:
Sn1 0.0201 0.7795 0.2500 x6
Hg1 0.3333 0.6667 0.2500 x2
Sb1 0.0230 0.6041 0.7500 x6

Summary:
calculated volume	29.29	A^3/atom
magnetic moment	0.00	μB/f.u.
theoretical density	7.47	g/cm³
raw formation energy	0.115	eV/atom
energy above the lowest structure with this stoichiometry	0	kJ/mol of formula units
Fermi-level density of states	1.311	states/eV/f.u.

---

Record 12
# SnHg2Sb

A geometry-optimized SnHg2Sb structure (PBE, Alexandria via LeMat-Bulk).

Cell lengths 3.3218, 3.3218, 34.3473 Å; angles 90.00, 90.00, 120.00 degrees
Space group R-3m (No. 166, hexagonal axes)
One atom of each set of equivalent atoms:
Sn1 0.0000 0.0000 0.0000 x3
Hg1 0.0000 0.0000 0.0866 x6
Sb1 0.0000 0.0000 0.5000 x3

Summary:
calculated volume	27.35	A^3/atom
magnetic moment	0.00	μB/f.u.
theoretical density	9.74	g/cm³
raw formation energy	0.099	eV/atom
energy above the lowest structure with this stoichiometry	22	kJ/mol of formula units
Fermi-level density of states	2.043	states/eV/f.u.

---

Record 13
# Sn3HgSb3

A geometry-optimized Sn3HgSb3 structure (PBE, Alexandria via LeMat-Bulk).

Cell lengths 8.3686, 8.3686, 8.3686 Å; angles 90.00, 90.00, 90.00 degrees
Space group Pm-3n (No. 223)
One atom of each set of equivalent atoms:
Sn1 0.0000 0.2500 0.5000 x6
Hg1 0.0000 0.0000 0.0000 x2
Sb1 0.0000 0.5000 0.2500 x6

Summary:
calculated volume	41.86	A^3/atom
magnetic moment	0.00	μB/f.u.
theoretical density	5.22	g/cm³
raw formation energy	0.192	eV/atom
energy above the lowest structure with this stoichiometry	52	kJ/mol of formula units
Fermi-level density of states	6.146	states/eV/f.u.

---

Record 14
# Sn3Hg2Sb2

A geometry-optimized Sn3Hg2Sb2 structure (PBE, Alexandria via LeMat-Bulk).

Cell lengths 4.4047, 5.9431, 8.3578 Å; angles 95.63, 105.03, 90.51 degrees
Space group P-1 (No. 2)
One atom of each set of equivalent atoms:
Sn1 0.0000 0.0000 0.0000 x1
Sn2 0.2132 0.2211 0.4401 x2
Hg1 0.4311 0.6700 0.8663 x2
Sb1 0.1624 0.6972 0.3028 x2

Summary:
calculated volume	30.02	A^3/atom
magnetic moment	0.00	μB/f.u.
theoretical density	7.91	g/cm³
raw formation energy	0.061	eV/atom
Fermi-level density of states	2.323	states/eV/f.u.

---

Record 15
# SnHg2Sb

A geometry-optimized SnHg2Sb structure (PBE, Alexandria via LeMat-Bulk).

Cell lengths 4.6286, 4.6286, 18.8449 Å; angles 90.00, 90.00, 120.00 degrees
Space group R3m (No. 160, hexagonal axes)
One atom of each set of equivalent atoms:
Sn1 0.0000 0.0000 0.0000 x3
Hg1 0.0000 0.0000 0.4116 x3
Hg2 0.0000 0.0000 0.5831 x3
Sb1 0.0000 0.0000 0.8383 x3

Summary:
calculated volume	29.14	A^3/atom
magnetic moment	0.00	μB/f.u.
theoretical density	9.14	g/cm³
raw formation energy	0.120	eV/atom
energy above the lowest structure with this stoichiometry	31	kJ/mol of formula units
Fermi-level density of states	1.096	states/eV/f.u.

---

Record 16
# Sn12Hg3Sb5

A geometry-optimized Sn12Hg3Sb5 structure (PBE, Alexandria via LeMat-Bulk).

Cell lengths 17.5527, 17.5527, 17.5527 Å; angles 90.00, 90.00, 90.00 degrees
Space group Ia-3d (No. 230)
One atom of each set of equivalent atoms:
Sn1 0.0191 0.0863 0.6523 x96
Hg1 0.0000 0.2500 0.1250 x24
Sb1 0.0000 0.0000 0.0000 x16
Sb2 0.0000 0.2500 0.3750 x24

Summary:
calculated volume	33.80	A^3/atom
magnetic moment	0.00	μB/f.u.
theoretical density	6.47	g/cm³
raw formation energy	0.163	eV/atom
Fermi-level density of states	5.843	states/eV/f.u.